Entry 1:
CrB3P: PBEsol geometry, meta-GGA SCAN.

Unit cell a=3.8393 b=3.8393 c=3.8393 alpha=90.00 beta=90.00 gamma=90.00
Element x y z (fractional)
B 0.0000 0.0000 0.5000
B 0.5000 0.0000 0.0000
B 0.0000 0.5000 0.0000
Cr 0.0000 0.0000 0.0000
P 0.5000 0.5000 0.5000

Values from the calculation:
- formation enthalpy at 0 K (meV/atom) = 1622

***

Entry 2:
LiCoAg2: PBEsol geometry, meta-GGA SCAN.

Unit cell a=2.6912 b=3.7645 c=5.6254 alpha=90.00 beta=90.00 gamma=90.00
Last column: magnetic moment on the atom in μB.
Element x y z (fractional)
Co 0.5000 0.5000 0.0000  1.84
Ag 0.0000 0.0000 0.7546  -0.01
Ag 0.0000 0.0000 0.2454  -0.01
Li 0.5000 0.5000 0.5000  -0.01

Values from the calculation:
- formation enthalpy at 0 K (meV/atom) = 109

***

Entry 3:
Cd2NiBr: PBEsol geometry, meta-GGA SCAN.

Unit cell a=3.9641 b=3.9641 c=5.6900 alpha=110.39 beta=110.39 gamma=90.00
Element x y z (fractional)
Cd 0.7500 0.2500 0.5000
Cd 0.0000 0.0000 0.0000
Ni 0.5000 0.5000 0.0000
Br 0.2500 0.7500 0.5000

Values from the calculation:
- offset from the most stable computed form (eV per atom) = 0.334

***

Entry 4:
K2VPO6: PBEsol geometry, meta-GGA SCAN.

Unit cell a=6.8859 b=7.5581 c=13.3802 alpha=90.00 beta=90.00 gamma=111.42
Element x y z (fractional)
O 0.3487 0.8080 0.3945
O 0.6513 0.1920 0.6055
O 0.7786 0.5133 0.8282
O 0.4551 0.7917 0.7598
O 0.1704 0.2640 0.0265
O 0.8487 0.3080 0.1055
O 0.2214 0.4867 0.1718
O 0.0449 0.7083 0.2598
O 0.0707 0.4241 0.3697
O 0.9293 0.5759 0.6303
O 0.3296 0.2360 0.5265
O 0.8296 0.7360 0.9735
O 0.5449 0.2083 0.2402
O 0.5707 0.9241 0.1303
O 0.1513 0.6920 0.8945
O 0.9900 0.8685 0.8036
O 0.4293 0.0759 0.8697
O 0.2786 0.0133 0.6718
O 0.9551 0.2917 0.7402
O 0.5100 0.6315 0.3036
O 0.7214 0.9867 0.3282
O 0.4900 0.3685 0.6964
O 0.6704 0.7640 0.4735
O 0.0100 0.1315 0.1964
V 0.2975 0.8990 0.7974
V 0.7975 0.3990 0.7026
V 0.2025 0.6010 0.2974
V 0.7025 0.1010 0.2026
P 0.9270 0.6989 0.8788
P 0.5730 0.8011 0.3788
P 0.0730 0.3011 0.1212
P 0.4270 0.1989 0.6212
K 0.8561 0.9466 0.6350
K 0.1439 0.0534 0.3650
K 0.6439 0.5534 0.1350
K 0.8016 0.0819 0.9188
K 0.3561 0.4466 0.8650
K 0.3016 0.5819 0.5812
K 0.1984 0.9181 0.0812
K 0.6984 0.4181 0.4188

Values from the calculation:
- total energy (eV/atom) = -10.74

***

Entry 5:
Si2AsCl: PBEsol geometry, meta-GGA SCAN.

Unit cell a=4.5608 b=4.5608 c=4.5608 alpha=60.00 beta=60.00 gamma=60.00
Element x y z (fractional)
Cl 0.2500 0.2500 0.2500
As 0.5000 0.5000 0.5000
Si 0.0000 0.0000 0.0000
Si 0.7500 0.7500 0.7500

Values from the calculation:
- offset from the most stable computed form (eV per atom) = 0.640

***

Entry 6:
Mg2HgPd2: PBEsol geometry, meta-GGA SCAN.

Unit cell a=3.0607 b=7.4921 c=7.4921 alpha=90.00 beta=90.00 gamma=90.00
Element x y z (fractional)
Mg 0.5000 0.6598 0.8402
Mg 0.5000 0.1598 0.6598
Mg 0.5000 0.3402 0.1598
Mg 0.5000 0.8402 0.3402
Pd 0.0000 0.6359 0.1359
Pd 0.0000 0.3641 0.8641
Pd 0.0000 0.8641 0.6359
Pd 0.0000 0.1359 0.3641
Hg 0.0000 0.5000 0.5000
Hg 0.0000 0.0000 0.0000

Values from the calculation:
- formation enthalpy at 0 K (meV/atom) = -571

***

Entry 7:
K4CuP6H8O22: PBEsol geometry, meta-GGA SCAN.

Unit cell a=8.4634 b=8.5207 c=14.1645 alpha=90.00 beta=90.00 gamma=96.75
Last column: magnetic moment on the atom in μB.
Element x y z (fractional)
O 0.8499 0.2900 0.7246  0.00
O 0.0635 0.3960 0.1025  0.00
O 0.6421 0.1657 0.0599  0.06
O 0.3539 0.3611 0.1207  0.00
O 0.2301 0.3491 0.9562  0.00
O 0.5776 0.3544 0.4056  0.05
O 0.3070 0.0561 0.1126  0.00
O 0.2697 0.6099 0.0511  0.00
O 0.0647 0.8890 0.8982  0.00
O 0.0635 0.8960 0.3975  0.00
O 0.6930 0.4439 0.6126  0.00
O 0.8499 0.7900 0.7754  0.00
O 0.1195 0.2012 0.7372  0.00
O 0.3579 0.8343 0.9401  0.06
O 0.0647 0.3890 0.6018  0.00
O 0.7303 0.3901 0.9489  0.00
O 0.8805 0.2988 0.2372  0.00
O 0.1501 0.7100 0.2754  0.00
O 0.3539 0.8611 0.3793  0.00
O 0.2697 0.1099 0.4489  0.00
O 0.7699 0.6509 0.0438  0.00
O 0.9353 0.1110 0.1018  0.00
O 0.2301 0.8491 0.5438  0.00
O 0.9365 0.6040 0.8975  0.00
O 0.4443 0.2082 0.2561  0.00
O 0.9365 0.1040 0.6025  0.00
O 0.6421 0.6657 0.4401  0.06
O 0.4224 0.1456 0.9056  0.05
O 0.1195 0.7012 0.7628  0.00
O 0.5557 0.7918 0.7439  0.00
O 0.9353 0.6110 0.3982  0.00
O 0.4443 0.7082 0.2439  0.00
O 0.6461 0.1389 0.6207  0.00
O 0.3579 0.3343 0.5599  0.06
O 0.7699 0.1509 0.4562  0.00
O 0.1501 0.2100 0.2246  0.00
O 0.6461 0.6389 0.8793  0.00
O 0.3070 0.5561 0.3874  0.00
O 0.4224 0.6456 0.5944  0.05
O 0.5557 0.2918 0.7561  0.00
O 0.5776 0.8544 0.0944  0.05
O 0.6930 0.9439 0.8874  0.00
O 0.8805 0.7988 0.2628  0.00
O 0.7303 0.8901 0.5511  0.00
H 0.6687 0.2621 0.0172  0.00
H 0.6687 0.7621 0.4828  0.00
H 0.3313 0.2379 0.5172  0.00
H 0.6488 0.2763 0.4308  0.00
H 0.7481 0.1298 0.0767  0.00
H 0.7481 0.6298 0.4233  0.00
H 0.5010 0.2044 0.8614  0.00
H 0.6488 0.7763 0.0692  0.00
H 0.4990 0.2956 0.3614  0.00
H 0.3313 0.7379 0.9828  0.00
H 0.4990 0.7956 0.1386  0.00
H 0.2519 0.3702 0.5767  0.00
H 0.5010 0.7044 0.6386  0.00
H 0.2519 0.8702 0.9233  0.00
H 0.3512 0.7237 0.5692  0.00
H 0.3512 0.2237 0.9308  0.00
K 0.9469 0.1715 0.9042  0.00
K 0.0531 0.3285 0.4042  0.00
K 0.6646 0.5043 0.2237  0.00
K 0.0531 0.8285 0.0958  0.00
K 0.6646 0.0043 0.2763  0.00
K 0.3354 0.9957 0.7237  0.00
K 0.3354 0.4957 0.7763  0.00
K 0.9469 0.6715 0.5958  0.00
P 0.0066 0.7541 0.8335  0.00
P 0.6751 0.3062 0.6784  0.00
P 0.7668 0.0655 0.5492  0.00
P 0.7668 0.5655 0.9508  0.00
P 0.2332 0.4345 0.0492  0.00
P 0.3249 0.1938 0.1784  0.00
P 0.9934 0.2459 0.1665  0.00
P 0.2332 0.9345 0.4508  0.00
P 0.0066 0.2541 0.6665  0.00
P 0.3249 0.6938 0.3216  0.00
P 0.6751 0.8062 0.8216  0.00
P 0.9934 0.7459 0.3335  0.00
Cu 0.5000 0.5000 0.5000  0.77
Cu 0.5000 0.0000 0.0000  0.77

Values from the calculation:
- total energy (eV/atom) = -8.71

***

Entry 8:
HWSN2: PBEsol geometry, meta-GGA SCAN.

Unit cell a=3.8298 b=3.8298 c=4.8944 alpha=90.00 beta=90.00 gamma=90.00
Last column: magnetic moment on the atom in μB.
Element x y z (fractional)
W 0.0000 0.0000 0.0000  0.48
H 0.5000 0.5000 0.5000  0.26
S 0.0000 0.0000 0.5000  -0.33
N 0.0000 0.5000 0.0000  -0.57
N 0.5000 0.0000 0.0000  -0.57

Values from the calculation:
- offset from the most stable computed form (eV per atom) = 0.000

***

Entry 9:
InAu5: PBEsol geometry, meta-GGA SCAN.

Unit cell a=2.9901 b=5.5326 c=6.8792 alpha=105.66 beta=90.00 gamma=105.68
Element x y z (fractional)
Au 0.9464 0.8928 0.3939
Au 0.6124 0.2248 0.7253
Au 0.3303 0.6605 0.6616
Au 0.6645 0.3289 0.3306
Au 0.9984 0.9967 0.9937
In 0.2814 0.5628 0.0615

Values from the calculation:
- formation enthalpy at 0 K (meV/atom) = -59

***

Entry 10:
Y2PSe: PBEsol geometry, meta-GGA SCAN.

Unit cell a=3.9115 b=3.9115 c=7.2609 alpha=74.37 beta=74.37 gamma=60.00
Element x y z (fractional)
Y 0.0085 0.0085 0.9746
Y 0.8246 0.8246 0.5262
P 0.4181 0.4181 0.7457
Se 0.2488 0.2488 0.2535

Values from the calculation:
- offset from the most stable computed form (eV per atom) = 0.078

***

Entry 11:
La2ZnCo: PBEsol geometry, meta-GGA SCAN.

Unit cell a=3.5338 b=3.5338 c=7.2194 alpha=90.00 beta=90.00 gamma=90.00
Last column: magnetic moment on the atom in μB.
Element x y z (fractional)
La 0.0000 0.0000 0.2751  -0.13
La 0.0000 0.0000 0.7249  -0.13
Zn 0.5000 0.5000 0.0000  0.01
Co 0.5000 0.5000 0.5000  1.48

Values from the calculation:
- formation enthalpy at 0 K (meV/atom) = -166

***

Entry 12:
Re2H2Os: PBEsol geometry, meta-GGA SCAN.

Unit cell a=2.8432 b=2.8432 c=6.3424 alpha=102.95 beta=102.95 gamma=90.00
Element x y z (fractional)
Os 0.0000 0.0000 0.0000
Re 0.6504 0.6504 0.3009
Re 0.3496 0.3496 0.6991
H 0.2500 0.7500 0.5000
H 0.7500 0.2500 0.5000

Values from the calculation:
- total energy (eV/atom) = -43.87